No. 1
Below is LiYCdGa after structural relaxation, with properties calculated at the PBE level.

Values from the calculation:
* calculated total energy: -3.4554 eV/atom
* M_tot: 0.0 Bohr magnetons per cell
* calculated volume: 21.2 Å³ per atom
* symmetry: No. 216

POSCAR file:
```
LiYCdGa
1.0
-3.6168 0.2403 3.3482
-4.5974 -1.2974 -1.2370
-1.9649 -4.1482 1.8114
Ga Y Li Cd
1 1 1 1
direct
0.5000 0.5000 0.5000
0.7500 0.7500 0.7500
0.2500 0.2500 0.2500
0.0000 0.0000 0.0000
```

No. 2
Below is Li3Zn3CdGa2 after structural relaxation, with properties calculated at the PBE level.

Values from the calculation:
* calculated total energy: -2.0012 eV/atom
* M_tot: 0.0 Bohr magnetons per cell
* calculated volume: 16.3 Å³ per atom
* symmetry: No. 189

POSCAR file:
```
Li3Zn3CdGa2
1.0
2.8671 0.0000 0.0000
0.0000 7.6822 0.0000
0.0000 -3.8411 6.6530
Zn Li Cd Ga
3 3 1 2
direct
0.0000 0.3634 0.0000
0.0000 0.0000 0.3634
0.0000 0.6366 0.6366
0.5000 0.3115 0.3115
0.5000 0.6885 0.0000
0.5000 0.0000 0.6885
0.0000 0.0000 0.0000
0.5000 0.6667 0.3333
0.5000 0.3333 0.6667
```

No. 3
Below is Li2Zn2CdGa2 after structural relaxation, with properties calculated at the PBE level.

Values from the calculation:
* calculated total energy: -2.0536 eV/atom
* M_tot: 0.0 Bohr magnetons per cell
* calculated volume: 16.9 Å³ per atom
* symmetry: No. 12

POSCAR file:
```
Li2Zn2CdGa2
1.0
4.1832 0.0000 0.0000
-2.0916 4.7380 0.4080
0.0000 -0.9759 5.8887
Zn Li Ga Cd
2 2 2 1
direct
0.8563 0.7126 0.5739
0.1437 0.2874 0.4261
0.7053 0.4107 0.1532
0.2947 0.5893 0.8468
0.5891 0.1783 0.6920
0.4109 0.8217 0.3080
0.0000 0.0000 0.0000
```

No. 4
Below is LuCdGa4 after structural relaxation, with properties calculated at the PBE level.

Values from the calculation:
* calculated total energy: -3.0817 eV/atom
* M_tot: 0.0 Bohr magnetons per cell
* calculated volume: 19.8 Å³ per atom
* symmetry: No. 216

POSCAR file:
```
LuCdGa4
1.0
-0.3818 0.4882 5.4821
0.5144 -4.4582 3.2089
4.4885 -0.6320 3.1450
Cd Ga Lu
1 4 1
direct
0.0000 0.0000 0.0000
0.6247 0.6247 0.1260
0.1260 0.6247 0.6247
0.6247 0.6247 0.6247
0.6247 0.1260 0.6247
0.2500 0.2500 0.2500
```

No. 5
Below is LuMgCdGa after structural relaxation, with properties calculated at the PBE level.

Values from the calculation:
* calculated total energy: -2.8372 eV/atom
* M_tot: 0.0 Bohr magnetons per cell
* calculated volume: 21.5 Å³ per atom
* symmetry: No. 216

POSCAR file:
```
LuMgCdGa
1.0
4.9552 0.0000 0.0000
2.4776 4.2913 0.0000
2.4776 1.4304 4.0459
Cd Mg Ga Lu
1 1 1 1
direct
0.7500 0.7500 0.7500
0.0000 0.0000 0.0000
0.2500 0.2500 0.2500
0.5000 0.5000 0.5000
```

No. 6
Below is LuCdGaNi after structural relaxation, with properties calculated at the PBE level.

Values from the calculation:
* calculated total energy: -3.8446 eV/atom
* M_tot: 0.0 Bohr magnetons per cell
* calculated volume: 18.0 Å³ per atom
* symmetry: No. 216

POSCAR file:
```
LuCdGaNi
1.0
-3.3768 0.1647 -3.2228
-3.7986 -2.6790 0.4585
-4.1193 1.9455 1.0309
Lu Ni Ga Cd
1 1 1 1
direct
0.2500 0.2500 0.2500
0.0000 0.0000 0.0000
0.5000 0.5000 0.5000
0.7500 0.7500 0.7500
```

> calculated volume of number 2 (Li3Zn3CdGa2)?

16.3 Å³ per atom

> Which value of M_tot does entry 1 give?

0.0 Bohr magnetons per cell